## BaLaAu10 (PBE-GGA)

Data for a geometry-optimized BaLaAu10 structure.

formation energy	-0.44	eV per atom
total magnetization	0.000	Bohr magnetons per cell
volume	22.4	Å³/atom

Cell: 4.6417 5.8457 9.8933 Å, 90.00 90.00 90.00°
Fractional coordinates of all 12 atoms:
1 La 0.0000 0.0000 0.0000
2 Au 0.5000 0.0000 0.5000
3 Au 0.0000 0.5000 0.1605
4 Au 0.0000 0.0000 0.3241
5 Au 0.5000 0.2452 0.7572
6 Au 0.0000 0.5000 0.8395
7 Au 0.5000 0.7548 0.7572
8 Au 0.5000 0.7548 0.2428
9 Au 0.5000 0.2452 0.2428
10 Au 0.5000 0.5000 0.0000
11 Au 0.0000 0.0000 0.6759
12 Ba 0.0000 0.5000 0.5000